Density functional theory data (GGA-PBE) for a relaxed structure of CaPrAg.

Relative energy among the computed polymorphs: 135 meV per atom

The structure in CIF format:
```
data_CaPrAg
_space_group_name_H-M_alt 'P 3 m 1'
_space_group_IT_number 156
_space_group_name_Hall 'P 3 -2"'
_cell_length_a 5.2638
_cell_length_b 5.2638
_cell_length_c 3.6915
_cell_angle_alpha 90.00
_cell_angle_beta 90.00
_cell_angle_gamma 120.00
loop_
_atom_site_label
_atom_site_type_symbol
_atom_site_fract_x
_atom_site_fract_y
_atom_site_fract_z
Ca1 Ca 0.0000 0.0000 0.0000
Pr1 Pr 0.3333 0.6667 0.5486
Ag1 Ag 0.6667 0.3333 0.2004
```



Density functional theory data (GGA-PBE) for a relaxed structure of Ca4PrAg2.

The structure in CIF format:
```
data_Ca4PrAg2
_space_group_name_H-M_alt 'R -3 m'
_space_group_IT_number 166
_space_group_name_Hall '-R 3 2"'
_cell_length_a 5.5422
_cell_length_b 5.5422
_cell_length_c 27.5054
_cell_angle_alpha 90.00
_cell_angle_beta 90.00
_cell_angle_gamma 120.00
loop_
_atom_site_label
_atom_site_type_symbol
_atom_site_fract_x
_atom_site_fract_y
_atom_site_fract_z
Ca1 Ca 0.0000 0.0000 0.1056
Ca2 Ca 0.0000 0.0000 0.2851
Pr1 Pr 0.0000 0.0000 0.5000
Ag1 Ag 0.0000 0.0000 0.3942
```



Density functional theory data (GGA-PBE) for a relaxed structure of Ca2PrAg2.

Relative energy among the computed polymorphs: 27 meV per atom

The structure in CIF format:
```
data_Ca2PrAg2
_space_group_name_H-M_alt 'P 1 21/m 1'
_space_group_IT_number 11
_space_group_name_Hall '-P 2yb'
_cell_length_a 5.935
_cell_length_b 4.829
_cell_length_c 11.029
_cell_angle_alpha 90.00
_cell_angle_beta 97.69
_cell_angle_gamma 90.00
loop_
_atom_site_label
_atom_site_type_symbol
_atom_site_fract_x
_atom_site_fract_y
_atom_site_fract_z
Ca1 Ca 0.109 0.250 0.378
Ca2 Ca 0.244 0.250 0.042
Pr1 Pr 0.406 0.250 0.713
Ag1 Ag 0.236 0.750 0.860
Ag2 Ag 0.372 0.750 0.528
```



Density functional theory data (GGA-PBE) for a relaxed structure of CaPrAg2.

Relative energy among the computed polymorphs: 205 meV per atom

The structure in CIF format:
```
data_CaPrAg2
_space_group_name_H-M_alt 'R 3 m'
_space_group_IT_number 160
_space_group_name_Hall 'R 3 -2"'
_cell_length_a 4.1466
_cell_length_b 4.1466
_cell_length_c 23.9085
_cell_angle_alpha 90.00
_cell_angle_beta 90.00
_cell_angle_gamma 120.00
loop_
_atom_site_label
_atom_site_type_symbol
_atom_site_fract_x
_atom_site_fract_y
_atom_site_fract_z
Ca1 Ca 0.0000 0.0000 0.0000
Pr1 Pr 0.0000 0.0000 0.8306
Ag1 Ag 0.0000 0.0000 0.2496
Ag2 Ag 0.0000 0.0000 0.4141
```



Density functional theory data (GGA-PBE) for a relaxed structure of CaPr2Ag9.

The structure in CIF format:
```
data_CaPr2Ag9
_space_group_name_H-M_alt 'R -3 m'
_space_group_IT_number 166
_space_group_name_Hall '-R 3 2"'
_cell_length_a 5.7257
_cell_length_b 5.7257
_cell_length_c 28.1797
_cell_angle_alpha 90.00
_cell_angle_beta 90.00
_cell_angle_gamma 120.00
loop_
_atom_site_label
_atom_site_type_symbol
_atom_site_fract_x
_atom_site_fract_y
_atom_site_fract_z
Ca1 Ca 0.0000 0.0000 0.0000
Pr1 Pr 0.0000 0.0000 0.1421
Ag1 Ag 0.0000 0.0000 0.3332
Ag2 Ag 0.0000 0.0000 0.5000
Ag3 Ag 0.0023 0.5012 0.9165
```



Density functional theory data (GGA-PBE) for a relaxed structure of CaPr2Ag4.

The structure in CIF format:
```
data_CaPr2Ag4
_space_group_name_H-M_alt 'R -3 m'
_space_group_IT_number 166
_space_group_name_Hall '-R 3 2"'
_cell_length_a 5.1747
_cell_length_b 5.1747
_cell_length_c 25.4285
_cell_angle_alpha 90.00
_cell_angle_beta 90.00
_cell_angle_gamma 120.00
loop_
_atom_site_label
_atom_site_type_symbol
_atom_site_fract_x
_atom_site_fract_y
_atom_site_fract_z
Ca1 Ca 0.0000 0.0000 0.0000
Pr1 Pr 0.0000 0.0000 0.2444
Ag1 Ag 0.0000 0.0000 0.1222
Ag2 Ag 0.0000 0.0000 0.3722
```



| no. | DFT formation energy (meV per atom) | total magnetization (μB/f.u.) |
| --- | --- | --- |
| 1 | -9.0 | 0.00 |
| 2 | 0.8 | 0.00 |
| 3 | -168.8 | 0.00 |
| 4 | -102.1 | 0.00 |
| 5 | -170.9 | 0.00 |
| 6 | -81.8 | 0.00 |